DFT (PBE) results for crystalline Ca2TbSi3Pt4 at its relaxed geometry.

Unit cell a=4.280 b=4.280 c=10.716 alpha=90.00 beta=90.00 gamma=90.00
Fractional positions:
Ca  0.000  0.500  0.229
Ca  0.500  0.000  0.771
Tb  0.000  0.000  0.500
Si  0.000  0.500  0.884
Si  0.500  0.000  0.116
Si  0.500  0.500  0.500
Pt  0.000  0.000  0.000
Pt  0.000  0.500  0.664
Pt  0.500  0.000  0.336
Pt  0.500  0.500  0.000

Computed properties:
Formation energy without anion corrections = -9.635 eV/f.u.
Spin magnetization = 0.00 μB/cell
Mass density = 9.334 Mg/m³
Electronic total energy = -58.70 eV per cell

DFT (PBE) results for crystalline CaThSi2Pt2 at its relaxed geometry.

Unit cell a=4.190 b=4.190 c=8.403 alpha=90.00 beta=90.00 gamma=120.00
Fractional positions:
Ca  0.000  0.000  0.000
Th  0.000  0.000  0.500
Si  0.333  0.667  0.744
Si  0.667  0.333  0.256
Pt  0.333  0.667  0.251
Pt  0.667  0.333  0.749

Computed properties:
Formation energy without anion corrections = -6.276 eV/f.u.
Spin magnetization = 0.00 μB/cell
Mass density = 9.337 Mg/m³
Electronic total energy = -38.62 eV per cell

DFT (PBE) results for crystalline CaTh2Si3Pt4 at its relaxed geometry.

Unit cell a=4.223 b=4.223 c=11.079 alpha=90.00 beta=90.00 gamma=90.00
Fractional positions:
Ca  0.000  0.000  0.000
Th  0.000  0.500  0.726
Th  0.500  0.000  0.274
Si  0.000  0.500  0.381
Si  0.500  0.000  0.619
Si  0.500  0.500  0.000
Pt  0.000  0.000  0.500
Pt  0.000  0.500  0.165
Pt  0.500  0.000  0.835
Pt  0.500  0.500  0.500

Computed properties:
Formation energy without anion corrections = -9.735 eV/f.u.
Spin magnetization = 0.00 μB/cell
Mass density = 11.505 Mg/m³
Electronic total energy = -67.01 eV per cell

DFT (PBE) results for crystalline Ca2TmSi3Pt12 at its relaxed geometry.

Unit cell a=7.491 b=7.491 c=7.491 alpha=68.29 beta=68.29 gamma=68.29
Fractional positions:
Ca  0.095  0.095  0.095
Ca  0.905  0.905  0.905
Tm  0.500  0.500  0.500
Si  0.000  0.500  0.500
Si  0.500  0.000  0.500
Si  0.500  0.500  0.000
Pt  0.107  0.649  0.649
Pt  0.150  0.150  0.598
Pt  0.150  0.598  0.150
Pt  0.351  0.351  0.893
Pt  0.351  0.893  0.351
Pt  0.402  0.850  0.850
Pt  0.598  0.150  0.150
Pt  0.649  0.107  0.649
Pt  0.649  0.649  0.107
Pt  0.850  0.402  0.850
Pt  0.850  0.850  0.402
Pt  0.893  0.351  0.351

Computed properties:
Formation energy without anion corrections = -9.008 eV/f.u.
Spin magnetization = 0.00 μB/cell
Mass density = 12.714 Mg/m³
Electronic total energy = -106.24 eV per cell

DFT (PBE) results for crystalline CaUSi2Pt5 at its relaxed geometry.

Unit cell a=4.071 b=4.071 c=11.348 alpha=90.00 beta=90.00 gamma=90.00
Fractional positions:
Ca  0.000  0.000  0.000
U  0.000  0.000  0.500
Si  0.500  0.500  0.204
Si  0.500  0.500  0.796
Pt  0.000  0.500  0.318
Pt  0.000  0.500  0.682
Pt  0.500  0.000  0.318
Pt  0.500  0.000  0.682
Pt  0.500  0.500  0.000

Computed properties:
Formation energy without anion corrections = -6.400 eV/f.u.
Spin magnetization = 2.15 μB/cell
Mass density = 11.564 Mg/m³
Electronic total energy = -60.74 eV per cell

DFT (PBE) results for crystalline CaY2SiPt at its relaxed geometry.

Unit cell a=5.451 b=5.451 c=4.597 alpha=90.00 beta=90.00 gamma=90.00
Fractional positions:
Ca  0.000  0.000  0.000
Y  0.000  0.500  0.500
Y  0.500  0.000  0.500
Si  0.500  0.500  0.500
Pt  0.500  0.500  0.000

Computed properties:
Formation energy without anion corrections = -1.388 eV/f.u.
Spin magnetization = 0.00 μB/cell
Mass density = 5.361 Mg/m³
Electronic total energy = -27.78 eV per cell

DFT (PBE) results for crystalline Ca2Zn4Si3Pt at its relaxed geometry.

Unit cell a=4.093 b=4.093 c=10.813 alpha=90.00 beta=90.00 gamma=90.00
Fractional positions:
Ca  0.000  0.500  0.249
Ca  0.500  0.000  0.751
Zn  0.000  0.000  0.500
Zn  0.000  0.500  0.859
Zn  0.500  0.000  0.141
Zn  0.500  0.500  0.500
Si  0.000  0.000  0.000
Si  0.000  0.500  0.636
Si  0.500  0.000  0.364
Pt  0.500  0.500  0.000

Computed properties:
Formation energy without anion corrections = -3.757 eV/f.u.
Spin magnetization = 0.00 μB/cell
Mass density = 5.693 Mg/m³
Electronic total energy = -35.17 eV per cell

DFT (PBE) results for crystalline Ca2ZnSi3Pt4 at its relaxed geometry.

Unit cell a=4.231 b=4.231 c=10.064 alpha=90.00 beta=90.00 gamma=90.00
Fractional positions:
Ca  0.000  0.500  0.246
Ca  0.500  0.000  0.754
Zn  0.500  0.500  0.000
Si  0.000  0.000  0.000
Si  0.000  0.500  0.629
Si  0.500  0.000  0.371
Pt  0.000  0.000  0.500
Pt  0.000  0.500  0.864
Pt  0.500  0.000  0.136
Pt  0.500  0.500  0.500

Computed properties:
Formation energy without anion corrections = -9.173 eV/f.u.
Spin magnetization = 0.00 μB/cell
Mass density = 9.313 Mg/m³
Electronic total energy = -54.88 eV per cell

DFT (PBE) results for crystalline CaZnSi2Pt2 at its relaxed geometry.

Unit cell a=4.205 b=4.205 c=6.976 alpha=90.00 beta=90.00 gamma=120.00
Fractional positions:
Ca  0.000  0.000  0.000
Zn  0.000  0.000  0.500
Si  0.333  0.667  0.702
Si  0.667  0.333  0.298
Pt  0.333  0.667  0.314
Pt  0.667  0.333  0.686

Computed properties:
Formation energy without anion corrections = -4.386 eV/f.u.
Spin magnetization = 0.00 μB/cell
Mass density = 8.578 Mg/m³
Electronic total energy = -30.59 eV per cell

DFT (PBE) results for crystalline Ca2ZnSi2Pt5 at its relaxed geometry.

Unit cell a=10.094 b=10.094 c=3.380 alpha=90.00 beta=90.00 gamma=90.00
Fractional positions:
Ca  0.175  0.325  0.000
Ca  0.325  0.825  0.000
Ca  0.675  0.175  0.000
Ca  0.825  0.675  0.000
Zn  0.000  0.000  0.000
Zn  0.500  0.500  0.000
Si  0.128  0.628  0.000
Si  0.372  0.128  0.000
Si  0.628  0.872  0.000
Si  0.872  0.372  0.000
Pt  0.000  0.500  0.500
Pt  0.059  0.793  0.500
Pt  0.207  0.059  0.500
Pt  0.293  0.559  0.500
Pt  0.441  0.293  0.500
Pt  0.500  0.000  0.500
Pt  0.559  0.707  0.500
Pt  0.707  0.441  0.500
Pt  0.793  0.941  0.500
Pt  0.941  0.207  0.500

Computed properties:
Formation energy without anion corrections = -7.935 eV/f.u.
Spin magnetization = 0.00 μB/cell
Mass density = 11.352 Mg/m³
Electronic total energy = -108.53 eV per cell

DFT (PBE) results for crystalline CaZn2SiPt4 at its relaxed geometry.

Unit cell a=8.690 b=8.690 c=8.690 alpha=29.00 beta=29.00 gamma=29.00
Fractional positions:
Ca  0.000  0.000  0.000
Zn  0.252  0.252  0.252
Zn  0.748  0.748  0.748
Si  0.500  0.500  0.500
Pt  0.137  0.137  0.137
Pt  0.406  0.406  0.406
Pt  0.594  0.594  0.594
Pt  0.863  0.863  0.863

Computed properties:
Formation energy without anion corrections = -5.235 eV/f.u.
Spin magnetization = 0.00 μB/cell
Mass density = 11.921 Mg/m³
Electronic total energy = -39.37 eV per cell

DFT (PBE) results for crystalline CaSm2Pt at its relaxed geometry.

Unit cell a=9.558 b=9.558 c=9.558 alpha=25.30 beta=25.30 gamma=25.30
Fractional positions:
Ca  0.000  0.000  0.000
Sm  0.553  0.553  0.553
Sm  0.777  0.777  0.777
Pt  0.165  0.165  0.165

Computed properties:
Spin magnetization = 0.00 μB/cell
Calculated formation energy = -0.53 eV per atom
ΔE to the lowest computed polymorph = 0.067 eV/atom
Mass density = 6.341 Mg/m³
Electronic total energy = -19.59 eV per cell

DFT (PBE) results for crystalline CaSmPt10 at its relaxed geometry.

Unit cell a=4.432 b=5.413 c=9.314 alpha=90.00 beta=90.00 gamma=90.00
Fractional positions:
Ca  0.000  0.000  0.000
Sm  0.000  0.500  0.500
Pt  0.000  0.000  0.333
Pt  0.000  0.000  0.667
Pt  0.000  0.500  0.167
Pt  0.000  0.500  0.833
Pt  0.500  0.000  0.500
Pt  0.500  0.252  0.252
Pt  0.500  0.252  0.748
Pt  0.500  0.500  0.000
Pt  0.500  0.748  0.252
Pt  0.500  0.748  0.748

Computed properties:
Spin magnetization = 0.00 μB/cell
Calculated formation energy = -0.63 eV per atom
Mass density = 15.912 Mg/m³
Electronic total energy = -74.70 eV per cell

DFT (PBE) results for crystalline Ca3Sm2Pt4 at its relaxed geometry.

Unit cell a=7.863 b=7.841 c=7.386 alpha=90.00 beta=108.83 gamma=90.00
Fractional positions:
Ca  0.000  0.000  0.000
Ca  0.000  0.500  0.500
Ca  0.249  0.178  0.756
Ca  0.249  0.322  0.256
Ca  0.751  0.678  0.744
Ca  0.751  0.822  0.244
Sm  0.313  0.684  0.935
Sm  0.313  0.816  0.435
Sm  0.687  0.184  0.565
Sm  0.687  0.316  0.065
Pt  0.034  0.634  0.130
Pt  0.034  0.866  0.630
Pt  0.428  0.026  0.157
Pt  0.428  0.474  0.657
Pt  0.572  0.526  0.343
Pt  0.572  0.974  0.843
Pt  0.966  0.134  0.370
Pt  0.966  0.366  0.870

Computed properties:
Spin magnetization = 0.00 μB/cell
Calculated formation energy = -0.99 eV per atom
Mass density = 9.256 Mg/m³
Electronic total energy = -97.02 eV per cell

DFT (PBE) results for crystalline Ca2SmPt2 at its relaxed geometry.

Unit cell a=5.697 b=4.411 c=11.077 alpha=90.00 beta=101.78 gamma=90.00
Fractional positions:
Ca  0.052  0.250  0.286
Ca  0.289  0.750  0.041
Ca  0.711  0.250  0.959
Ca  0.948  0.750  0.714
Sm  0.409  0.250  0.623
Sm  0.591  0.750  0.377
Pt  0.146  0.750  0.473
Pt  0.488  0.750  0.808
Pt  0.512  0.250  0.192
Pt  0.854  0.250  0.527

Computed properties:
Spin magnetization = 0.00 μB/cell
Calculated formation energy = -0.92 eV per atom
Mass density = 7.564 Mg/m³
Electronic total energy = -50.77 eV per cell

DFT (PBE) results for crystalline CaSmPt2 at its relaxed geometry.

Unit cell a=3.535 b=3.535 c=7.072 alpha=90.00 beta=90.00 gamma=90.00
Fractional positions:
Ca  0.000  0.000  0.000
Sm  0.000  0.000  0.500
Pt  0.500  0.500  0.261
Pt  0.500  0.500  0.739

Computed properties:
Spin magnetization = 0.00 μB/cell
Calculated formation energy = -1.05 eV per atom
ΔE to the lowest computed polymorph = 0.013 eV/atom
Mass density = 10.912 Mg/m³
Electronic total energy = -22.99 eV per cell

DFT (PBE) results for crystalline CaSmPt2 at its relaxed geometry.

Unit cell a=4.983 b=4.983 c=4.983 alpha=60.00 beta=60.00 gamma=60.00
Fractional positions:
Ca  0.000  0.000  0.000
Sm  0.500  0.500  0.500
Pt  0.250  0.250  0.250
Pt  0.750  0.750  0.750

Computed properties:
Spin magnetization = 0.00 μB/cell
Calculated formation energy = -1.03 eV per atom
ΔE to the lowest computed polymorph = 0.031 eV/atom
Mass density = 11.023 Mg/m³
Electronic total energy = -22.92 eV per cell

DFT (PBE) results for crystalline Ca2SmPt3 at its relaxed geometry.

Unit cell a=7.872 b=7.872 c=7.060 alpha=90.00 beta=90.00 gamma=143.18
Fractional positions:
Ca  0.000  0.000  0.000
Ca  0.000  0.000  0.500
Ca  0.333  0.667  0.000
Ca  0.667  0.333  0.000
Sm  0.337  0.663  0.500
Sm  0.663  0.337  0.500
Pt  0.171  0.829  0.260
Pt  0.171  0.829  0.740
Pt  0.500  0.500  0.250
Pt  0.500  0.500  0.750
Pt  0.829  0.171  0.260
Pt  0.829  0.171  0.740

Computed properties:
Spin magnetization = 0.00 μB/cell
Calculated formation energy = -0.99 eV per atom
Mass density = 10.332 Mg/m³
Electronic total energy = -65.61 eV per cell

DFT (PBE) results for crystalline CaSm3Pt at its relaxed geometry.

Unit cell a=5.645 b=5.645 c=5.645 alpha=90.00 beta=90.00 gamma=90.00
Fractional positions:
Ca  0.000  0.000  0.000
Sm  0.000  0.500  0.500
Sm  0.500  0.000  0.500
Sm  0.500  0.500  0.000
Pt  0.500  0.500  0.500

Computed properties:
Spin magnetization = 0.74 μB/cell
Calculated formation energy = -0.34 eV per atom
ΔE to the lowest computed polymorph = 0.017 eV/atom
Mass density = 6.333 Mg/m³
Electronic total energy = -23.88 eV per cell

DFT (PBE) results for crystalline CaSmPt2 at its relaxed geometry.

Unit cell a=7.418 b=7.418 c=7.418 alpha=31.83 beta=31.83 gamma=31.83
Fractional positions:
Ca  0.000  0.000  0.000
Sm  0.171  0.171  0.171
Pt  0.586  0.586  0.586
Pt  0.754  0.754  0.754

Computed properties:
Spin magnetization = 0.00 μB/cell
Calculated formation energy = -0.87 eV per atom
ΔE to the lowest computed polymorph = 0.186 eV/atom
Mass density = 9.556 Mg/m³
Electronic total energy = -22.30 eV per cell